Crystalline Nd3DyY2 at its relaxed geometry, computed with PBE.

a b c (Å): 7.292 6.329 9.722
angles (deg): 102.51 112.03 90.00
Fractional coordinates of all 12 atoms:
1 Y 0.790 0.529 0.332
2 Y 0.543 0.029 0.332
3 Y 0.457 0.971 0.668
4 Y 0.210 0.471 0.668
5 Nd 0.959 0.975 0.666
6 Nd 0.041 0.025 0.334
7 Nd 0.708 0.475 0.666
8 Nd 0.128 0.750 0.000
9 Nd 0.872 0.250 0.000
10 Nd 0.292 0.525 0.334
11 Dy 0.377 0.250 0.000
12 Dy 0.623 0.750 0.000

## Properties
- N(E_F): 1.31 states/eV per atom
- Electronic total energy: -5.30 eV per atom
- Energy above the lowest structure with this stoichiometry: 0.000 eV per formula unit


Crystalline CeHo2Er at its relaxed geometry, computed with PBE.

a b c (Å): 3.509 3.509 11.632
angles (deg): 90.00 98.68 119.98
Fractional coordinates of all 4 atoms:
1 Ho 0.832 0.416 0.248
2 Ho 0.168 0.583 0.751
3 Er 0.999 0.000 0.999
4 Ce 0.668 0.834 0.502

## Properties
- N(E_F): 1.82 states/eV per atom
- Electronic total energy: -4.86 eV per atom
- Energy above the lowest structure with this stoichiometry: 0.000 eV per formula unit